No. 1
A relaxed ScAuS2 crystal, computed with GGA-PBE.

Results
N(E_F)	0.1393	states/eV/atom
offset from the most stable computed form	219.6	meV/atom

Unit cell a=4.316 b=4.316 c=5.257 alpha=90.00 beta=90.00 gamma=120.00
Element x y z (fractional)
Sc  0.333  0.667  0.349
S  0.333  0.667  0.857
S  0.667  0.333  0.370
Au  0.000  0.000  0.880

***

No. 2
A relaxed ScAuS2 crystal, computed with GGA-PBE.

Results
N(E_F)	0.0578	states/eV/atom
offset from the most stable computed form	174.2	meV/atom

Unit cell a=7.289 b=5.089 c=5.089 alpha=88.10 beta=111.22 gamma=68.78
Element x y z (fractional)
Sc  0.750  0.377  0.877
Sc  0.250  0.623  0.123
S  0.165  0.165  0.021
S  0.335  0.521  0.665
S  0.835  0.835  0.979
S  0.665  0.479  0.335
Au  0.750  0.956  0.456
Au  0.250  0.044  0.544

***

No. 3
A relaxed ScAuS2 crystal, computed with GGA-PBE.

Results
N(E_F)	0.1664	states/eV/atom
offset from the most stable computed form	228.2	meV/atom

Unit cell a=6.970 b=6.970 c=6.970 alpha=34.89 beta=34.89 gamma=34.89
Element x y z (fractional)
Sc  0.014  0.014  0.014
S  0.137  0.137  0.137
S  0.640  0.640  0.640
Au  0.460  0.460  0.460

***

No. 4
A relaxed ScAuS2 crystal, computed with GGA-PBE.

Results
N(E_F)	0.0000	states/eV/atom
offset from the most stable computed form	0.0	meV/atom

Unit cell a=7.661 b=7.661 c=7.661 alpha=28.87 beta=28.87 gamma=28.87
Element x y z (fractional)
Sc  0.500  0.500  0.500
S  0.895  0.895  0.895
S  0.105  0.105  0.105
Au  0.000  0.000  0.000

***

No. 5
A relaxed Sc2AuS2 crystal, computed with GGA-PBE.

Results
N(E_F)	0.5585	states/eV/atom
offset from the most stable computed form	0.0	meV/atom

Unit cell a=7.369 b=7.369 c=3.244 alpha=90.00 beta=90.00 gamma=90.00
Element x y z (fractional)
Sc  0.157  0.657  0.500
Sc  0.657  0.843  0.500
Sc  0.843  0.343  0.500
Sc  0.343  0.157  0.500
S  0.361  0.861  0.000
S  0.861  0.639  0.000
S  0.639  0.139  0.000
S  0.139  0.361  0.000
Au  0.000  0.000  0.000
Au  0.500  0.500  0.000

***

No. 6
A relaxed ScAuS2 crystal, computed with GGA-PBE.

Results
N(E_F)	0.0140	states/eV/atom
offset from the most stable computed form	204.1	meV/atom

Unit cell a=7.187 b=3.609 c=11.545 alpha=90.00 beta=90.00 gamma=90.00
Element x y z (fractional)
Sc  0.370  0.250  0.344
Sc  0.130  0.750  0.844
Sc  0.630  0.750  0.656
Sc  0.870  0.250  0.156
S  0.658  0.250  0.493
S  0.842  0.750  0.993
S  0.342  0.750  0.507
S  0.158  0.250  0.007
S  0.407  0.250  0.766
S  0.093  0.750  0.266
S  0.593  0.750  0.234
S  0.907  0.250  0.734
Au  0.114  0.250  0.567
Au  0.386  0.750  0.067
Au  0.886  0.750  0.433
Au  0.614  0.250  0.933

***

No. 7
A relaxed ScAuS2 crystal, computed with GGA-PBE.

Results
N(E_F)	0.8799	states/eV/atom
offset from the most stable computed form	1110.6	meV/atom

Unit cell a=7.836 b=7.836 c=7.836 alpha=28.20 beta=28.20 gamma=28.20
Element x y z (fractional)
Sc  0.000  0.000  0.000
S  0.893  0.893  0.893
S  0.107  0.107  0.107
Au  0.500  0.500  0.500

***

No. 8
A relaxed ScAuS2 crystal, computed with GGA-PBE.

Results
N(E_F)	0.0000	states/eV/atom
offset from the most stable computed form	117.8	meV/atom

Unit cell a=15.928 b=3.735 c=6.883 alpha=90.00 beta=116.00 gamma=90.00
Element x y z (fractional)
Sc  0.318  0.000  0.011
Sc  0.682  0.000  0.989
Sc  0.182  0.500  0.489
Sc  0.818  0.500  0.511
S  0.934  0.998  0.692
S  0.066  0.002  0.308
S  0.566  0.498  0.808
S  0.434  0.502  0.192
S  0.188  0.492  0.860
S  0.812  0.508  0.140
S  0.312  0.992  0.640
S  0.688  0.008  0.360
Au  0.622  0.303  0.560
Au  0.378  0.697  0.440
Au  0.878  0.803  0.940
Au  0.122  0.197  0.060